NaPmI3 | PBE | optimized geometry

Cell lengths 7.6344, 7.8236, 13.3938 Å; angles 90.00, 85.34, 90.00 degrees
Positions (direct):
Na (0.7399, 0.5276, 0.2546)
Na (0.7601, 0.0276, 0.2454)
Na (0.2601, 0.4724, 0.7454)
Na (0.2399, 0.9724, 0.7546)
Pm (0.2946, 0.5057, 0.0735)
Pm (0.2054, 0.0057, 0.4265)
Pm (0.7054, 0.4943, 0.9265)
Pm (0.7946, 0.9943, 0.5735)
I (0.0937, 0.7219, 0.5854)
I (0.4063, 0.2219, 0.9146)
I (0.9063, 0.2781, 0.4146)
I (0.5937, 0.7781, 0.0854)
I (0.9075, 0.2362, 0.7526)
I (0.5925, 0.7362, 0.7474)
I (0.0925, 0.7638, 0.2474)
I (0.4075, 0.2638, 0.2526)
I (0.5777, 0.7914, 0.4166)
I (0.9223, 0.2914, 0.0834)
I (0.4223, 0.2086, 0.5834)
I (0.0777, 0.7086, 0.9166)

ΔE_f (raw)	-6.03	eV/f.u.
distance to the lowest polymorph of the same formula	16	meV per atom



YHf2Sn | PBE | optimized geometry

Cell lengths 8.3696, 8.3696, 6.6389 Å; angles 50.92, 50.92, 90.00 degrees
Positions (direct):
Y (0.5000, 0.5000, 0.0000)
Y (0.2500, 0.7500, 0.5000)
Hf (0.6539, 0.1250, 0.2500)
Hf (0.0961, 0.6250, 0.2500)
Hf (0.3750, 0.3461, 0.7500)
Hf (0.8750, 0.9039, 0.7500)
Sn (0.0000, 0.0000, 0.0000)
Sn (0.7500, 0.2500, 0.5000)

ΔE_f	0.3043	eV/atom
distance to the lowest polymorph of the same formula	247	meV per atom



Tb2Pt5Rh | PBE | optimized geometry

Cell lengths 4.1039, 5.8266, 11.6583 Å; angles 90.00, 90.00, 90.00 degrees
Positions (direct):
Tb (0.5000, 0.2446, 0.6235)
Tb (0.5000, 0.7554, 0.3765)
Tb (0.5000, 0.2554, 0.1235)
Tb (0.5000, 0.7446, 0.8765)
Pt (0.0000, 0.0000, 0.0000)
Pt (0.0000, 0.5000, 0.5000)
Pt (0.0000, 0.4958, 0.7504)
Pt (0.0000, 0.5042, 0.2496)
Pt (0.0000, 0.0042, 0.2504)
Pt (0.0000, 0.9958, 0.7496)
Pt (0.5000, 0.2478, 0.8757)
Pt (0.5000, 0.7522, 0.1243)
Pt (0.5000, 0.2522, 0.3757)
Pt (0.5000, 0.7478, 0.6243)
Rh (0.0000, 0.0000, 0.5000)
Rh (0.0000, 0.5000, 0.0000)

ΔE_f	-0.9346	eV/atom



MnWBr2 | PBE | optimized geometry

Cell lengths 3.1111, 3.1111, 8.7165 Å; angles 90.00, 90.00, 90.00 degrees
Positions (direct):
Br (0.0000, 0.0000, 0.9175)
Br (0.5000, 0.5000, 0.3350)
Mn (0.0000, 0.0000, 0.5270)
W (0.5000, 0.5000, 0.7205)

ΔE_f (raw)	1.32	eV/f.u.
distance to the lowest polymorph of the same formula	173	meV per atom



DyY3Se6 | PBE | optimized geometry

Cell lengths 4.1006, 11.5783, 11.8632 Å; angles 109.11, 90.00, 90.00 degrees
Positions (direct):
Dy (0.7500, 0.0432, 0.6915)
Dy (0.2500, 0.9568, 0.3085)
Y (0.7500, 0.4312, 0.8322)
Y (0.2500, 0.5688, 0.1678)
Y (0.7500, 0.6832, 0.5018)
Y (0.2500, 0.3168, 0.4982)
Y (0.7500, 0.1590, 0.0826)
Y (0.2500, 0.8410, 0.9174)
Se (0.7500, 0.4802, 0.6155)
Se (0.2500, 0.5198, 0.3845)
Se (0.7500, 0.9172, 0.0998)
Se (0.2500, 0.0828, 0.9002)
Se (0.7500, 0.3964, 0.0630)
Se (0.2500, 0.6036, 0.9370)
Se (0.7500, 0.7483, 0.2779)
Se (0.2500, 0.2517, 0.7221)
Se (0.7500, 0.1100, 0.4647)
Se (0.2500, 0.8900, 0.5353)
Se (0.7500, 0.8091, 0.7496)
Se (0.2500, 0.1909, 0.2504)

ΔE_f (raw)	-18.71	eV/f.u.
distance to the lowest polymorph of the same formula	0	meV per atom



TaTe2Mo | PBE | optimized geometry

Cell lengths 4.1064, 3.6974, 7.2578 Å; angles 89.86, 90.00, 90.00 degrees
Positions (direct):
Mo (0.0000, 0.3750, 0.6187)
Ta (0.5000, 0.8750, 0.6327)
Te (0.0000, 0.8737, 0.9031)
Te (0.5000, 0.3763, 0.3455)

ΔE_f (raw)	-0.73	eV/f.u.
distance to the lowest polymorph of the same formula	0	meV per atom



CeTlCu | PBE | optimized geometry

Cell lengths 3.5317, 4.7884, 4.7884 Å; angles 120.00, 90.00, 90.00 degrees
Positions (direct):
Tl (0.1666, 0.0000, 0.0000)
Cu (0.1668, 0.3333, 0.6667)
Ce (0.6666, 0.6667, 0.3333)

ΔE_f	-0.1369	eV/atom



Sn2HgS | PBE | optimized geometry

Cell lengths 5.1529, 5.1529, 5.1529 Å; angles 60.00, 60.00, 60.00 degrees
Positions (direct):
S (0.0000, 0.0000, 0.0000)
Hg (0.5000, 0.5000, 0.5000)
Sn (0.2500, 0.2500, 0.2500)
Sn (0.7500, 0.7500, 0.7500)

ΔE_f (raw)	0.42	eV/f.u.
distance to the lowest polymorph of the same formula	201	meV per atom



Computed V (A^3/atom) in order:
39.87, 26.34, 17.42, 21.09, 26.61, 27.55, 23.38, 24.19
Computed M_tot (Bohr magnetons per cell) in order:
3.97, 0.00, 0.00, 2.67, 0.00, 0.00, 1.15, 0.00